Entry 1:
DFT (GGA-PBE) results for a relaxed structure of La4Tb5Y.

Cell: 3.5649 11.4858 8.8241 Å, 90.10 101.65 90.00°
Fractional coordinates of all 10 atoms:
Tb 0.1732 0.9498 0.3463
Tb 0.8268 0.0502 0.6537
La 0.6614 0.2500 0.3228
Y 0.5000 0.0000 0.0000
Tb 0.8271 0.4505 0.6541
Tb 0.5000 0.5000 0.0000
La 0.0330 0.7490 0.0660
Tb 0.1729 0.5495 0.3459
La 0.3386 0.7500 0.6772
La 0.9670 0.2510 0.9340

Summary:
distance to the lowest polymorph of the same formula	0.005	eV/atom
symmetry	No. 12
electronic total energy	-4.744	eV/atom
M_tot	0.0	μB/cell

=====

Entry 2:
DFT (GGA-PBE) results for a relaxed structure of Zr2TlAu.

Cell: 10.0189 10.0189 10.0189 Å, 18.61 18.61 18.61°
Fractional coordinates of all 4 atoms:
Tl 0.7500 0.7500 0.7500
Zr 0.5052 0.5052 0.5052
Au 0.2500 0.2500 0.2500
Zr 0.9948 0.9948 0.9948

Summary:
symmetry	No. 166
electronic total energy	-5.773	eV/atom
M_tot	0.0	μB/cell

=====

> Which of these has the lowest electronic total energy?

Zr2TlAu